1.
# Mg2MnZn, relaxed, DFT PBE
# Size of the total moment, μB/atom: 0.87
# Energy, eV/atom: -3.2534
# Formation energy, eV/atom: 0.155
# Fermi-level density of states, states/eV/atom: 0.620
data_Mg2MnZn
_symmetry_space_group_name_H-M 'I m m m'
_symmetry_Int_Tables_number 71
_symmetry_space_group_name_Hall '-I 2 2'
_cell_length_a 3.8944
_cell_length_b 4.2626
_cell_length_c 8.3888
_cell_angle_alpha 90.00
_cell_angle_beta 90.00
_cell_angle_gamma 90.00
loop_
_atom_site_label
_atom_site_type_symbol
_atom_site_fract_x
_atom_site_fract_y
_atom_site_fract_z
Mg1 Mg 0.0000 0.0000 0.2473
Mn1 Mn 0.0000 0.5000 0.0000
Zn1 Zn 0.0000 0.5000 0.5000

---

2.
# Mg2MnZn6, relaxed, DFT PBE
# Size of the total moment, μB/atom: 0.35
# Energy, eV/atom: -2.1986
# Formation energy, eV/atom: 0.024
# Fermi-level density of states, states/eV/atom: 0.597
data_Mg2MnZn6
_symmetry_space_group_name_H-M 'P -3 m 1'
_symmetry_Int_Tables_number 164
_symmetry_space_group_name_Hall '-P 3 2"'
_cell_length_a 5.2789
_cell_length_b 5.2789
_cell_length_c 6.2991
_cell_angle_alpha 90.00
_cell_angle_beta 90.00
_cell_angle_gamma 120.00
loop_
_atom_site_label
_atom_site_type_symbol
_atom_site_fract_x
_atom_site_fract_y
_atom_site_fract_z
Mg1 Mg 0.3333 0.6667 0.0963
Mn1 Mn 0.0000 0.0000 0.0000
Zn1 Zn 0.1710 0.3420 0.6749

---

3.
# Mg2ZrMnZn, relaxed, DFT PBE
# Size of the total moment, μB/atom: 0.13
# Energy, eV/atom: -3.9127
# Formation energy, eV/atom: 0.523
# Fermi-level density of states, states/eV/atom: 0.638
data_Mg2ZrMnZn
_symmetry_space_group_name_H-M 'P 4/m m m'
_symmetry_Int_Tables_number 123
_symmetry_space_group_name_Hall '-P 4 2'
_cell_length_a 4.9596
_cell_length_b 4.9596
_cell_length_c 4.5464
_cell_angle_alpha 90.00
_cell_angle_beta 90.00
_cell_angle_gamma 90.00
loop_
_atom_site_label
_atom_site_type_symbol
_atom_site_fract_x
_atom_site_fract_y
_atom_site_fract_z
Mg1 Mg 0.0000 0.5000 0.0000
Zr1 Zr 0.0000 0.0000 0.5000
Mn1 Mn 0.0000 0.0000 0.0000
Zn1 Zn 0.5000 0.5000 0.5000

---

4.
# MgZrMn, relaxed, DFT PBE
# Size of the total moment, μB/atom: 0.54
# Energy, eV/atom: -5.8472
# Formation energy, eV/atom: 0.590
# Distance to the lowest polymorph of the same formula, eV/atom: 0.448
# Fermi-level density of states, states/eV/atom: 1.844
data_MgZrMn
_symmetry_space_group_name_H-M 'F -4 3 m'
_symmetry_Int_Tables_number 216
_symmetry_space_group_name_Hall 'F -4 2 3'
_cell_length_a 6.3369
_cell_length_b 6.3369
_cell_length_c 6.3369
_cell_angle_alpha 90.00
_cell_angle_beta 90.00
_cell_angle_gamma 90.00
loop_
_atom_site_label
_atom_site_type_symbol
_atom_site_fract_x
_atom_site_fract_y
_atom_site_fract_z
Mg1 Mg 0.0000 0.0000 0.0000
Zr1 Zr 0.0000 0.0000 0.5000
Mn1 Mn 0.2500 0.2500 0.2500

---

5.
# MgZrMn2, relaxed, DFT PBE
# Size of the total moment, μB/atom: 1.58
# Energy, eV/atom: -6.7903
# Formation energy, eV/atom: 0.330
# Fermi-level density of states, states/eV/atom: 1.684
data_MgZrMn2
_symmetry_space_group_name_H-M 'F -4 3 m'
_symmetry_Int_Tables_number 216
_symmetry_space_group_name_Hall 'F -4 2 3'
_cell_length_a 6.5519
_cell_length_b 6.5519
_cell_length_c 6.5519
_cell_angle_alpha 90.00
_cell_angle_beta 90.00
_cell_angle_gamma 90.00
loop_
_atom_site_label
_atom_site_type_symbol
_atom_site_fract_x
_atom_site_fract_y
_atom_site_fract_z
Mg1 Mg 0.0000 0.0000 0.0000
Zr1 Zr 0.2500 0.2500 0.7500
Mn1 Mn 0.0000 0.0000 0.5000
Mn2 Mn 0.2500 0.2500 0.2500

---

6.
# MgZrMn, relaxed, DFT PBE
# Size of the total moment, μB/atom: 0.80
# Energy, eV/atom: -5.4486
# Formation energy, eV/atom: 0.989
# Distance to the lowest polymorph of the same formula, eV/atom: 0.846
# Fermi-level density of states, states/eV/atom: 1.781
data_MgZrMn
_symmetry_space_group_name_H-M 'F -4 3 m'
_symmetry_Int_Tables_number 216
_symmetry_space_group_name_Hall 'F -4 2 3'
_cell_length_a 6.5695
_cell_length_b 6.5695
_cell_length_c 6.5695
_cell_angle_alpha 90.00
_cell_angle_beta 90.00
_cell_angle_gamma 90.00
loop_
_atom_site_label
_atom_site_type_symbol
_atom_site_fract_x
_atom_site_fract_y
_atom_site_fract_z
Mg1 Mg 0.0000 0.0000 0.0000
Zr1 Zr 0.2500 0.2500 0.7500
Mn1 Mn 0.0000 0.0000 0.5000

---

> Which formula does entry 6 have?

MgZrMn

---

> The highest energy belongs to which entry?

Mg2MnZn6

---

> Among the records above, which one has the lowest energy?

MgZrMn2